Record 1
DFT (GGA-PBE) results for a geometry-optimized BeNi2Os structure.

The structure in extended XYZ format:
```
4
Lattice="3.355 0.000 0.000 0.000 3.355 0.000 0.000 0.000 3.926" Properties=species:S:1:pos:R:3 pbc="T T T"
Be 0.000 0.000 0.000
Ni 0.000 1.678 1.963
Ni 1.678 0.000 1.963
Os 1.678 1.678 0.000
```

Properties
total moment	0.00	μB per formula unit
symmetry	P4/mmm
total energy	-26.4	eV per cell

---

Record 2
DFT (GGA-PBE) results for a geometry-optimized SiOs3Pt structure.

The structure in extended XYZ format:
```
5
Lattice="4.742 0.000 0.000 0.000 4.742 0.000 0.000 0.000 4.742" Properties=species:S:1:pos:R:3 pbc="T T T"
Si 0.000 0.000 0.000
Os 0.000 2.371 2.371
Os 2.371 0.000 2.371
Os 2.371 2.371 0.000
Pt 2.371 2.371 2.371
```

Properties
total moment	0.00	μB per formula unit
symmetry	Pm-3m
formation energy (no corrections)	2.70	eV per atom

---

Record 3
DFT (GGA-PBE) results for a geometry-optimized Ac4HoMg3 structure.

The structure in extended XYZ format:
```
8
Lattice="4.052 0.000 0.000 0.000 5.929 0.000 0.000 0.000 11.876" Properties=species:S:1:pos:R:3 pbc="T T T"
Ac 0.000 0.000 0.000
Ac 0.000 0.000 5.938
Ac 0.000 2.965 2.903
Ac 0.000 2.965 8.973
Ho 2.026 2.965 5.938
Mg 2.026 0.000 2.992
Mg 2.026 0.000 8.884
Mg 2.026 2.965 0.000
```

Properties
total moment	0.00	μB per formula unit
symmetry	Pmmm
total energy	-26.0	eV per cell

---

Record 4
DFT (GGA-PBE) results for a geometry-optimized TbTm3Ag2 structure.

The structure in extended XYZ format:
```
6
Lattice="3.575 0.000 0.000 0.000 3.575 0.000 0.000 0.000 12.154" Properties=species:S:1:pos:R:3 pbc="T T T"
Tb 0.000 0.000 0.000
Tm 1.788 1.788 2.470
Tm 1.788 1.788 6.077
Tm 1.788 1.788 9.684
Ag 0.000 0.000 4.269
Ag 0.000 0.000 7.884
```

Properties
total moment	0.00	μB per formula unit
symmetry	P4/mmm
total energy	-25.0	eV per cell

---

Record 5
DFT (GGA-PBE) results for a geometry-optimized Nd6ZnTe3 structure.

The structure in extended XYZ format:
```
20
Lattice="12.552 0.000 0.000 0.000 4.157 0.000 -3.548 0.000 12.573" Properties=species:S:1:pos:R:3 pbc="T T T"
Nd -1.234 1.039 4.453
Nd -1.917 1.039 11.416
Nd 2.088 3.118 3.635
Nd 1.160 3.118 9.417
Nd 3.003 1.039 6.753
Nd 4.898 3.118 1.516
Nd 4.106 1.039 11.057
Nd 6.001 3.118 5.821
Nd 7.844 1.039 3.156
Nd 6.916 1.039 8.939
Nd 10.921 3.118 1.158
Nd 10.238 3.118 8.121
Zn 4.618 1.039 3.906
Zn 4.386 3.118 8.667
Te 0.605 1.039 1.829
Te 0.397 3.118 6.317
Te 1.122 1.039 11.767
Te 7.882 3.118 0.807
Te 8.607 1.039 6.257
Te 8.399 3.118 10.744
```

Properties
total moment	0.00	μB per formula unit
symmetry	P2_1/m
formation energy (no corrections)	-0.80	eV per atom

---

Record 6
DFT (GGA-PBE) results for a geometry-optimized CaYTeI2 structure.

The structure in extended XYZ format:
```
5
Lattice="5.776 0.000 0.000 0.000 5.776 0.000 0.000 0.000 6.118" Properties=species:S:1:pos:R:3 pbc="T T T"
Ca 0.000 0.000 0.000
Y 2.888 2.888 3.059
Te 0.000 0.000 3.059
I 0.000 2.888 0.000
I 2.888 0.000 0.000
```

Properties
total moment	0.92	μB per formula unit
symmetry	P4/mmm
formation energy (no corrections)	-0.60	eV per atom

---

Record 7
DFT (GGA-PBE) results for a geometry-optimized AlSeF2 structure.

The structure in extended XYZ format:
```
8
Lattice="0.000 4.034 4.034 4.034 0.000 4.034 4.034 4.034 0.000" Properties=species:S:1:pos:R:3 pbc="T T T"
Al 1.009 1.009 1.009
Al 7.060 7.060 7.060
Se 3.026 3.026 3.026
Se 5.043 5.043 5.043
F 0.000 0.000 0.000
F 2.017 2.017 0.000
F 2.017 0.000 2.017
F 0.000 2.017 2.017
```

Properties
total moment	1.03	μB per formula unit
symmetry	Fd-3m
formation energy (no corrections)	-1.85	eV per atom

---

Record 8
DFT (GGA-PBE) results for a geometry-optimized Sm2Mg2Si4Ni structure.

The structure in extended XYZ format:
```
9
Lattice="-3.156 3.156 4.265 3.156 -3.156 4.265 3.156 3.156 -4.265" Properties=species:S:1:pos:R:3 pbc="T T T"
Sm 3.156 0.000 2.132
Sm 0.000 3.156 2.132
Mg 0.000 0.000 1.747
Mg 0.000 0.000 6.782
Si 1.516 1.516 0.000
Si 1.640 -1.640 4.265
Si -1.640 1.640 4.265
Si 1.640 1.640 4.265
Ni 0.000 0.000 4.265
```

Properties
total moment	0.00	μB per formula unit
symmetry	I4/mmm
formation energy (no corrections)	-0.38	eV per atom

---

Number 1: calculated volume 11.1 Å³ per atom. Number 2: calculated volume 21.3 Å³ per atom. Number 3: calculated volume 35.7 Å³ per atom. Number 4: calculated volume 25.9 Å³ per atom. Number 5: calculated volume 32.8 Å³ per atom. Number 6: calculated volume 40.8 Å³ per atom. Number 7: calculated volume 16.4 Å³ per atom. Number 8: calculated volume 18.9 Å³ per atom.